Computed, not measured: crystalline BaYRePt2 at its relaxed geometry at the PBE-GGA level of DFT.

POSCAR file:
```
BaYRePt2
1.0
5.202 0.000 0.000
0.000 5.202 0.000
0.000 0.000 5.607
Ba Y Re Pt
1 1 1 2
direct
0.000 0.000 0.000 Ba
0.000 0.000 0.500 Y
0.500 0.500 0.500 Re
0.000 0.500 0.000 Pt
0.500 0.000 0.000 Pt
```

Energy = -21.709 eV/f.u.
DFT formation energy = 11.2 eV/f.u.
Calculated volume = 152 Å³/cell
DOS(E_F) = 1.22 states/eV per atom